Compound: CoGeO3
Source: OQMD via LeMat-Bulk
Functional: PBE with a Hubbard U
Structure: relaxed

Structure (CIF):
```
data_CoGeO3
_cell_length_a 8.147
_cell_length_b 3.000
_cell_length_c 4.694
_cell_angle_alpha 90.00
_cell_angle_beta 90.00
_cell_angle_gamma 90.00
_symmetry_space_group_name_H-M 'P m m a'
_symmetry_Int_Tables_number 51
loop_
_symmetry_equiv_pos_as_xyz
'x,y,z'
'-x,-y,-z'
'-x+1/2,-y,z'
'x+1/2,y,-z'
'x+1/2,-y,-z'
'-x+1/2,y,z'
'-x,y,-z'
'x,-y,z'
loop_
_atom_site_label
_atom_site_type_symbol
_atom_site_fract_x
_atom_site_fract_y
_atom_site_fract_z
_atom_site_occupancy
Co1 Co 0.000 0.000 0.000 1
Ge1 Ge 0.250 0.500 0.466 1
O1 O 0.078 0.500 0.245 1
O2 O 0.250 0.000 0.693 1
```

Computed properties:
The calculated total energy comes out at -0.4608 Ry/atom. The calculation puts the total magnetization at 0.600 μB per atom.